ScFe2Pt4 | Alexandria | PBE | relaxed; ΔH_f (0 K) = 0.597 eV/atom; symmetry = I4/mmm; total moment = 6.8 μB/cell; energy = -6.1776 eV per atom
1.0
-2.4099 2.4099 6.1339
2.4099 -2.4099 6.1339
2.4099 2.4099 -6.1339
Sc Fe Pt
1 2 4
direct
0.0000 0.0000 0.0000
0.4066 0.4066 0.0000
0.5934 0.5934 0.0000
0.0000 0.5000 0.5000
0.2080 0.2080 0.0000
0.5000 0.0000 0.5000
0.7920 0.7920 0.0000